# 1
## LiLaNiPb (PBE-GGA)

Data for a geometry-optimized LiLaNiPb structure.

Cell lengths 5.078, 5.078, 5.078 Å; angles 60.00, 60.00, 60.00 degrees
Element x y z (fractional)
La: 0.250 0.250 0.250
Li: 0.750 0.750 0.750
Ni: 0.500 0.500 0.500
Pb: 0.000 0.000 0.000

Results
Volume = 93 Å³/cell
Space-group type = No. 216
Crystal system = cubic
Uncorrected energy = -16.6 eV per cell

=====

# 2
## LiLaNiPb (PBE-GGA)

Data for a geometry-optimized LiLaNiPb structure.

Cell lengths 4.863, 4.863, 4.863 Å; angles 60.00, 60.00, 60.00 degrees
Element x y z (fractional)
La: 0.500 0.500 0.500
Li: 0.750 0.750 0.750
Ni: 0.250 0.250 0.250
Pb: 0.000 0.000 0.000

Results
Volume = 81 Å³/cell
Space-group type = No. 216
Crystal system = cubic
Uncorrected energy = -17.7 eV per cell